Computed, not measured: EuFeSe2 after structural relaxation at the GGA-PBE level of DFT.

## Properties
Total moment (μB/atom): 1.75
Crystal system: trigonal
Calculated total energy (eV per atom): -7.23
Formation energy without anion corrections (eV per atom): -0.806
DOS at the Fermi energy (states/eV per cell): 5.952
Volume (Å³/f.u.): 80.01

Cell: 3.904 3.904 6.466 Å, 72.43 72.43 60.00°
Atoms (fractional coordinates):
1 Fe 0.500 0.500 0.500
2 Eu 0.000 0.000 0.000
3 Se 0.228 0.228 0.316
4 Se 0.772 0.772 0.684